1.
Computed, not measured: TlPOs3 at its PBEsol-relaxed geometry at the SCAN level of DFT.

The structure belongs to space group Pm-3m (No. 221); the cell edges are 4.840, 4.840 and 4.840 Å and the angles 90.00°, 90.00° and 90.00°. Symmetry generates all atoms from Tl at (0.000, 0.000, 0.000), P at (0.500, 0.500, 0.500) and Os at (0.000, 0.000, 0.500).

The value obtained for the formation energy is 3733.0 meV per atom.

=====

2.
Computed, not measured: TlP2Os at its PBEsol-relaxed geometry at the SCAN level of DFT.

The structure belongs to space group Cmmm (No. 65); the cell edges are 5.426, 7.428 and 3.206 Å and the angles 90.00°, 90.00° and 90.00°. Symmetry generates all atoms from Tl at (0.000, 0.000, 0.000), P at (0.250, 0.250, 0.500) and Os at (0.000, 0.500, 0.000).

The polymorph energy (0 for the lowest one) comes out at 955 meV/atom. The value obtained for the formation energy is 1042.8 meV per atom.

=====

3.
Computed, not measured: TlP2Os at its PBEsol-relaxed geometry at the SCAN level of DFT.

The structure belongs to space group Pmmm (No. 47); the cell edges are 3.218, 4.414 and 4.591 Å and the angles 90.00°, 90.00° and 90.00°. Symmetry generates all atoms from Tl at (0.000, 0.000, 0.000), P at (0.000, 0.500, 0.500), P at (0.500, 0.000, 0.500) and Os at (0.500, 0.500, 0.000).

The polymorph energy (0 for the lowest one) comes out at 1104 meV/atom. The value obtained for the formation energy is 1192.3 meV per atom.

=====

4.
Computed, not measured: TlP2Os at its PBEsol-relaxed geometry at the SCAN level of DFT.

The structure belongs to space group Cm (No. 8); the cell edges are 8.194, 3.027 and 6.377 Å and the angles 90.00°, 103.77° and 90.00°. Symmetry generates all atoms from Tl at (0.000, 0.000, 0.000), P at (0.162, 0.500, 0.576), P at (0.285, 0.500, 0.298) and Os at (0.383, 0.000, 0.591).

The polymorph energy (0 for the lowest one) comes out at 0 meV/atom. The value obtained for the formation energy is 88.0 meV per atom.

=====

5.
Computed, not measured: TlP2Os at its PBEsol-relaxed geometry at the SCAN level of DFT.

The structure belongs to space group Imm2 (No. 44); the cell edges are 2.943, 2.979 and 16.639 Å and the angles 90.00°, 90.00° and 90.00°. Symmetry generates all atoms from Tl at (0.000, 0.000, 0.000), P at (0.000, 0.000, 0.350), P at (0.000, 0.500, 0.164) and Os at (0.000, 0.500, 0.738).

The polymorph energy (0 for the lowest one) comes out at 54 meV/atom. The value obtained for the formation energy is 142.2 meV per atom.

=====

6.
Computed, not measured: TlP2Os at its PBEsol-relaxed geometry at the SCAN level of DFT.

The structure belongs to space group Pm (No. 6); the cell edges are 3.781, 3.469 and 5.897 Å and the angles 90.00°, 106.89° and 90.00°. Symmetry generates all atoms from Tl at (0.000, 0.000, 0.000), P at (0.221, 0.500, 0.518), P at (0.618, 0.000, 0.531) and Os at (0.634, 0.500, 0.270).

The polymorph energy (0 for the lowest one) comes out at 228 meV/atom. The value obtained for the formation energy is 316.1 meV per atom.

=====

7.
Computed, not measured: YP3Os at its PBEsol-relaxed geometry at the SCAN level of DFT.

The structure belongs to space group Pm-3m (No. 221); the cell edges are 5.006, 5.006 and 5.006 Å and the angles 90.00°, 90.00° and 90.00°. Symmetry generates all atoms from Y at (0.000, 0.000, 0.000), P at (0.000, 0.000, 0.500) and Os at (0.500, 0.500, 0.500).

The value obtained for the formation energy is 1879.9 meV per atom.

=====

8.
Computed, not measured: YP2Os at its PBEsol-relaxed geometry at the SCAN level of DFT.

The structure belongs to space group Fm-3m (No. 225); the cell edges are 6.300, 6.300 and 6.300 Å and the angles 90.00°, 90.00° and 90.00°. Symmetry generates all atoms from Y at (0.000, 0.000, 0.000), P at (0.250, 0.250, 0.250) and Os at (0.000, 0.000, 0.500).

The polymorph energy (0 for the lowest one) comes out at 511 meV/atom. The value obtained for the formation energy is -290.8 meV per atom.

=====

9.
Computed, not measured: YP2Os at its PBEsol-relaxed geometry at the SCAN level of DFT.

The structure belongs to space group P2/m (No. 10); the cell edges are 3.904, 3.925 and 4.687 Å and the angles 90.00°, 92.19° and 90.00°. Symmetry generates all atoms from Y at (0.000, 0.000, 0.000), P at (0.459, 0.500, 0.768) and Os at (0.500, 0.000, 0.500).

The polymorph energy (0 for the lowest one) comes out at 0 meV/atom. The value obtained for the formation energy is -801.9 meV per atom.

=====

10.
Computed, not measured: Y2POs at its PBEsol-relaxed geometry at the SCAN level of DFT.

The structure belongs to space group F-43m (No. 216); the cell edges are 6.612, 6.612 and 6.612 Å and the angles 90.00°, 90.00° and 90.00°. Symmetry generates all atoms from Y at (0.000, 0.000, 0.000), Y at (0.250, 0.250, 0.250), P at (0.000, 0.000, 0.500) and Os at (0.250, 0.250, 0.750).

The value obtained for the formation energy is -128.4 meV per atom.

=====

11.
Computed, not measured: ZnPOs2 at its PBEsol-relaxed geometry at the SCAN level of DFT.

The structure belongs to space group Immm (No. 71); the cell edges are 2.809, 4.628 and 8.427 Å and the angles 90.00°, 90.00° and 90.00°. Symmetry generates all atoms from Zn at (0.000, 0.000, 0.000), P at (0.000, 0.000, 0.500) and Os at (0.000, 0.500, 0.217).

The polymorph energy (0 for the lowest one) comes out at 29 meV/atom. The value obtained for the formation energy is 224.3 meV per atom.

=====

12.
Computed, not measured: Zn2POs at its PBEsol-relaxed geometry at the SCAN level of DFT.

The structure belongs to space group I4/mmm (No. 139); the cell edges are 3.570, 3.570 and 8.273 Å and the angles 90.00°, 90.00° and 90.00°. Symmetry generates all atoms from Zn at (0.000, 0.500, 0.250), P at (0.000, 0.000, 0.000) and Os at (0.000, 0.000, 0.500).

The value obtained for the formation energy is 198.4 meV per atom.

=====

13.
Computed, not measured: ZnPOs2 at its PBEsol-relaxed geometry at the SCAN level of DFT.

The structure belongs to space group Pmmm (No. 47); the cell edges are 2.869, 4.046 and 4.742 Å and the angles 90.00°, 90.00° and 90.00°. Symmetry generates all atoms from Zn at (0.000, 0.000, 0.000), P at (0.500, 0.000, 0.500), Os at (0.000, 0.500, 0.500) and Os at (0.500, 0.500, 0.000).

The polymorph energy (0 for the lowest one) comes out at 376 meV/atom. The value obtained for the formation energy is 571.1 meV per atom.

=====

14.
Computed, not measured: ZnPOs2 at its PBEsol-relaxed geometry at the SCAN level of DFT.

The structure belongs to space group Imm2 (No. 44); the cell edges are 2.884, 3.866 and 9.795 Å and the angles 90.00°, 90.00° and 90.00°. Symmetry generates all atoms from Zn at (0.000, 0.000, 0.000), P at (0.000, 0.500, 0.259), Os at (0.000, 0.000, 0.575) and Os at (0.000, 0.500, 0.814).

The polymorph energy (0 for the lowest one) comes out at 0 meV/atom. The value obtained for the formation energy is 194.9 meV per atom.

=====

15.
Computed, not measured: Zn2POs at its PBEsol-relaxed geometry at the SCAN level of DFT.

The structure belongs to space group I-4m2 (No. 119); the cell edges are 3.814, 3.814 and 7.338 Å and the angles 90.00°, 90.00° and 90.00°. Symmetry generates all atoms from Zn at (0.000, 0.000, 0.000), Zn at (0.000, 0.500, 0.250), P at (0.000, 0.500, 0.750) and Os at (0.000, 0.000, 0.500).

The value obtained for the formation energy is 273.5 meV per atom.

=====

16.
Computed, not measured: Zn2POs at its PBEsol-relaxed geometry at the SCAN level of DFT.

The structure belongs to space group Cmmm (No. 65); the cell edges are 2.704, 4.619 and 9.185 Å and the angles 90.00°, 90.00° and 90.00°. Symmetry generates all atoms from Zn at (0.000, 0.000, 0.243), P at (0.000, 0.500, 0.500) and Os at (0.000, 0.500, 0.000).

The value obtained for the formation energy is 440.6 meV per atom.

=====

17.
Computed, not measured: ZnPOs2 at its PBEsol-relaxed geometry at the SCAN level of DFT.

The structure belongs to space group I-4m2 (No. 119); the cell edges are 3.650, 3.650 and 7.985 Å and the angles 90.00°, 90.00° and 90.00°. Symmetry generates all atoms from Zn at (0.000, 0.000, 0.000), P at (0.000, 0.500, 0.750), Os at (0.000, 0.000, 0.500) and Os at (0.000, 0.500, 0.250).

The polymorph energy (0 for the lowest one) comes out at 296 meV/atom. The value obtained for the formation energy is 490.8 meV per atom.

=====

18.
Computed, not measured: Zn2POs at its PBEsol-relaxed geometry at the SCAN level of DFT.

The structure belongs to space group Pmmm (No. 47); the cell edges are 3.117, 3.950 and 4.334 Å and the angles 90.00°, 90.00° and 90.00°. Symmetry generates all atoms from Zn at (0.000, 0.000, 0.000), Zn at (0.500, 0.500, 0.000), P at (0.000, 0.500, 0.500) and Os at (0.500, 0.000, 0.500).

The value obtained for the formation energy is 342.9 meV per atom.

=====

19.
Computed, not measured: Zr2POs at its PBEsol-relaxed geometry at the SCAN level of DFT.

The structure belongs to space group P4mm (No. 99); the cell edges are 2.978, 2.978 and 7.687 Å and the angles 90.00°, 90.00° and 90.00°. Symmetry generates all atoms from Zr at (0.000, 0.000, 0.000), Zr at (0.500, 0.500, 0.329), P at (0.500, 0.500, 0.754) and Os at (0.000, 0.000, 0.599).

The value obtained for the formation energy is -381.8 meV per atom.

=====

20.
Computed, not measured: ZrPOs at its PBEsol-relaxed geometry at the SCAN level of DFT.

The structure belongs to space group P-62m (No. 189); the cell edges are 6.3959, 6.3959 and 3.8254 Å and the angles 90.00°, 90.00° and 120.00°. Symmetry generates all atoms from Zr at (0.0000, 0.4162, 0.0000), P at (0.0000, 0.0000, 0.0000), P at (0.3333, 0.6667, 0.5000) and Os at (0.0000, 0.7539, 0.5000).

The value obtained for the formation energy is -1047.8 meV per atom.

=====

21.
Computed, not measured: Zr2POs at its PBEsol-relaxed geometry at the SCAN level of DFT.

The structure belongs to space group Cmmm (No. 65); the cell edges are 5.737, 7.196 and 3.254 Å and the angles 90.00°, 90.00° and 90.00°. Symmetry generates all atoms from Zr at (0.250, 0.250, 0.000), P at (0.000, 0.000, 0.500) and Os at (0.000, 0.500, 0.500).

The value obtained for the formation energy is -682.6 meV per atom.

=====

22.
Computed, not measured: Zr2POs at its PBEsol-relaxed geometry at the SCAN level of DFT.

The structure belongs to space group Amm2 (No. 38); the cell edges are 3.972, 3.562 and 9.857 Å and the angles 90.00°, 90.00° and 90.00°. Symmetry generates all atoms from Zr at (0.000, 0.000, 0.000), Zr at (0.500, 0.000, 0.284), P at (0.000, 0.000, 0.723) and Os at (0.500, 0.000, 0.559).

The value obtained for the formation energy is -961.2 meV per atom.

=====

23.
Computed, not measured: ZrPOs2 at its PBEsol-relaxed geometry at the SCAN level of DFT.

The structure belongs to space group R-3m (No. 166, hexagonal axes); the cell edges are 2.9006, 2.9006 and 24.7867 Å and the angles 90.00°, 90.00° and 120.00°. Symmetry generates all atoms from Zr at (0.0000, 0.0000, 0.0000), P at (0.0000, 0.0000, 0.5000) and Os at (0.0000, 0.0000, 0.2365).

The value obtained for the formation energy is 57.2 meV per atom.

=====

24.
Computed, not measured: ZrPOs2 at its PBEsol-relaxed geometry at the SCAN level of DFT.

The structure belongs to space group Cm (No. 8); the cell edges are 9.588, 2.917 and 4.781 Å and the angles 90.00°, 111.56° and 90.00°. Symmetry generates all atoms from Zr at (0.000, 0.000, 0.000), P at (0.248, 0.000, 0.725), Os at (0.032, 0.500, 0.510) and Os at (0.288, 0.500, 0.369).

The value obtained for the formation energy is -258.7 meV per atom.

=====

25.
Computed, not measured: Zr2POs at its PBEsol-relaxed geometry at the SCAN level of DFT.

The structure belongs to space group P4/mmm (No. 123); the cell edges are 3.336, 3.336 and 6.039 Å and the angles 90.00°, 90.00° and 90.00°. Symmetry generates all atoms from Zr at (0.000, 0.000, 0.242), P at (0.500, 0.500, 0.000) and Os at (0.500, 0.500, 0.500).

The value obtained for the formation energy is -718.4 meV per atom.

=====

26.
Computed, not measured: ZrPOs at its PBEsol-relaxed geometry at the SCAN level of DFT.

The structure belongs to space group P3m1 (No. 156); the cell edges are 2.9653, 2.9653 and 6.2364 Å and the angles 90.00°, 90.00° and 120.00°. Symmetry generates all atoms from Zr at (0.0000, 0.0000, 0.0000), P at (0.3333, 0.6667, 0.3534) and Os at (0.6667, 0.3333, 0.6136).

The value obtained for the formation energy is -141.6 meV per atom.

=====

27.
Computed, not measured: ZrPOs at its PBEsol-relaxed geometry at the SCAN level of DFT.

The structure belongs to space group Pnma (No. 62); the cell edges are 6.408, 3.886 and 7.273 Å and the angles 90.00°, 90.00° and 90.00°. Symmetry generates all atoms from Zr at (0.020, 0.250, 0.178), P at (0.223, 0.750, 0.377) and Os at (0.152, 0.250, 0.561).

The value obtained for the formation energy is -1068.2 meV per atom.

=====

28.
Computed, not measured: Rb3OsPb at its PBEsol-relaxed geometry at the SCAN level of DFT.

The structure belongs to space group Pm-3m (No. 221); the cell edges are 6.231, 6.231 and 6.231 Å and the angles 90.00°, 90.00° and 90.00°. Symmetry generates all atoms from Rb at (0.000, 0.000, 0.500), Os at (0.000, 0.000, 0.000) and Pb at (0.500, 0.500, 0.500).

The value obtained for the formation energy is 1238.7 meV per atom.

=====

29.
Computed, not measured: ReOsPb2 at its PBEsol-relaxed geometry at the SCAN level of DFT.

The structure belongs to space group F-43m (No. 216); the cell edges are 6.725, 6.725 and 6.725 Å and the angles 90.00°, 90.00° and 90.00°. Symmetry generates all atoms from Re at (0.000, 0.000, 0.000), Os at (0.250, 0.250, 0.250), Pb at (0.000, 0.000, 0.500) and Pb at (0.250, 0.250, 0.750).

The polymorph energy (0 for the lowest one) comes out at 72 meV/atom. The value obtained for the formation energy is 1402.1 meV per atom.

=====

30.
Computed, not measured: Re2OsPb at its PBEsol-relaxed geometry at the SCAN level of DFT.

The structure belongs to space group P4/mmm (No. 123); the cell edges are 4.694, 4.694 and 2.948 Å and the angles 90.00°, 90.00° and 90.00°. Symmetry generates all atoms from Re at (0.000, 0.500, 0.000), Os at (0.000, 0.000, 0.500) and Pb at (0.500, 0.500, 0.500).

The value obtained for the formation energy is 1197.6 meV per atom.

=====

no.,uncorrected energy (Ry/atom)
1,-4.11198
2,-2.95583
3,-2.94484
4,-3.02600
5,-3.02202
6,-3.00924
7,-1.78630
8,-2.23589
9,-2.27346
10,-2.54448
11,-3.06446
12,-1.99393
13,-3.03897
14,-3.06662
15,-1.98841
16,-1.97614
17,-3.04488
18,-1.98331
19,-2.66806
20,-2.84491
21,-2.69017
22,-2.71064
23,-3.39249
24,-3.41570
25,-2.69280
26,-2.77830
27,-2.84640
28,-2.99412
29,-5.30901
30,-5.23798